Record 1
Compound: CsTc2P2
Source: Alexandria via LeMat-Bulk
Functional: GGA-PBEsol
Structure: relaxed

Computed properties:
- total magnetization (μB per cell) = 0.01
- energy of formation (eV per atom) = -0.3955
- total energy (eV/atom) = -7.407

a = 4.044 Å, b = 4.044 Å, c = 7.509 Å
α = 105.62°, β = 105.62°, γ = 90.00°
Atoms (fractional coordinates):
Tc1 0.750 0.250 0.500
Tc2 0.250 0.750 0.500
P1 0.333 0.333 0.666
P2 0.667 0.667 0.334
Cs1 0.000 0.000 0.000


Record 2
Compound: CuNiAs2
Source: Alexandria via LeMat-Bulk
Functional: GGA-PBEsol
Structure: relaxed

Computed properties:
- total magnetization (μB per cell) = 0.00
- energy of formation (eV per atom) = -0.0674
- total energy (eV/atom) = -5.244

a = 4.211 Å, b = 3.879 Å, c = 4.412 Å
α = 90.00°, β = 90.00°, γ = 117.36°
Atoms (fractional coordinates):
Ni1 0.424 0.713 0.500
Cu1 0.086 0.542 0.000
As1 0.707 0.853 0.000
As2 0.784 0.392 0.500


Record 3
Compound: Sc5Pt
Source: Alexandria via LeMat-Bulk
Functional: GGA-PBEsol
Structure: relaxed

Computed properties:
- total magnetization (μB per cell) = 0.00
- energy of formation (eV per atom) = -0.4141
- relative energy among the computed polymorphs (eV per formula unit) = 0.00
- total energy (eV/atom) = -7.079

a = 3.381 Å, b = 5.735 Å, c = 7.418 Å
α = 110.43°, β = 90.00°, γ = 107.15°
Atoms (fractional coordinates):
Pt1 0.500 0.000 0.500
Sc1 0.858 0.717 0.637
Sc2 0.166 0.332 0.799
Sc3 0.142 0.283 0.363
Sc4 0.834 0.668 0.201
Sc5 0.500 0.000 0.000


Record 4
Compound: Li2ZnSe
Source: Alexandria via LeMat-Bulk
Functional: GGA-PBEsol
Structure: relaxed

Computed properties:
- total magnetization (μB per cell) = 0.00
- formation energy without anion corrections (meV/atom) = -516
- relative energy among the computed polymorphs (eV per formula unit) = 0.32
- total energy (eV/atom) = -2.857

a = 2.879 Å, b = 3.682 Å, c = 5.983 Å
α = 90.00°, β = 90.00°, γ = 90.00°
Atoms (fractional coordinates):
Zn1 0.500 0.500 0.500
Se1 0.500 0.500 0.000
Li1 0.000 0.000 0.236
Li2 0.000 0.000 0.764


Record 5
Compound: CsNaS2F
Source: Alexandria via LeMat-Bulk
Functional: GGA-PBEsol
Structure: relaxed

Computed properties:
- total magnetization (μB per cell) = 0.00
- formation energy without anion corrections (meV/atom) = -434
- total energy (eV/atom) = -3.041

a = 4.829 Å, b = 4.829 Å, c = 5.119 Å
α = 90.00°, β = 90.00°, γ = 90.00°
Atoms (fractional coordinates):
F1 0.000 0.000 0.000
Na1 0.500 0.500 0.500
S1 0.500 0.000 0.000
S2 0.000 0.500 0.000
Cs1 0.000 0.000 0.500


Record 6
Compound: KMn6O12
Source: Alexandria via LeMat-Bulk
Functional: GGA-PBEsol
Structure: relaxed

Computed properties:
- total magnetization (μB per cell) = 33.99
- formation energy without anion corrections (meV/atom) = -1741
- total energy (eV/atom) = -8.198

a = 8.086 Å, b = 8.086 Å, c = 8.086 Å
α = 105.96°, β = 105.96°, γ = 116.76°
Atoms (fractional coordinates):
O1 0.035 0.679 0.046
O2 0.300 0.654 0.954
O3 0.011 0.965 0.643
O4 0.700 0.346 0.046
O5 0.664 0.959 0.623
O6 0.665 0.374 0.373
O7 0.368 0.011 0.046
O8 0.041 0.664 0.705
O9 0.709 0.335 0.710
O10 0.679 0.632 0.643
O11 0.959 0.336 0.295
O12 0.965 0.321 0.954
O13 0.291 0.665 0.290
O14 0.374 0.001 0.710
O15 0.632 0.989 0.954
O16 0.336 0.041 0.377
O17 0.335 0.626 0.627
O18 0.989 0.035 0.357
O19 0.321 0.368 0.357
O20 0.626 0.999 0.290
O21 0.654 0.700 0.353
O22 0.346 0.300 0.647
O23 0.999 0.709 0.373
O24 0.001 0.291 0.627
K1 0.708 0.708 0.000
K2 0.292 0.292 0.000
Mn1 0.333 0.818 0.818
Mn2 0.999 0.515 0.182
Mn3 0.182 0.001 0.516
Mn4 0.485 0.667 0.484
Mn5 0.001 0.485 0.818
Mn6 0.151 0.333 0.484
Mn7 0.515 0.333 0.516
Mn8 0.849 0.667 0.516
Mn9 0.333 0.849 0.181
Mn10 0.667 0.151 0.819
Mn11 0.818 0.999 0.484
Mn12 0.667 0.182 0.182


Record 7
Compound: Cr2GaP2
Source: Alexandria via LeMat-Bulk
Functional: GGA-PBEsol
Structure: relaxed

Computed properties:
- total magnetization (μB per cell) = 0.00
- energy of formation (eV per atom) = -0.2045
- total energy (eV/atom) = -7.286

a = 3.271 Å, b = 3.271 Å, c = 6.323 Å
α = 104.99°, β = 104.99°, γ = 90.00°
Atoms (fractional coordinates):
Cr1 0.385 0.385 0.771
Cr2 0.615 0.615 0.229
Ga1 0.000 0.000 0.000
P1 0.750 0.250 0.500
P2 0.250 0.750 0.500


Record 8
Compound: CaTmZn2
Source: Alexandria via LeMat-Bulk
Functional: GGA-PBEsol
Structure: relaxed

Computed properties:
- total magnetization (μB per cell) = 0.00
- energy of formation (eV per atom) = -0.2688
- total energy (eV/atom) = -2.818

a = 4.971 Å, b = 4.971 Å, c = 4.971 Å
α = 60.00°, β = 60.00°, γ = 60.00°
Atoms (fractional coordinates):
Zn1 0.750 0.750 0.750
Zn2 0.250 0.250 0.250
Ca1 0.500 0.500 0.500
Tm1 0.000 0.000 0.000


Record 9
Compound: K4Zn
Source: Alexandria via LeMat-Bulk
Functional: GGA-PBEsol
Structure: relaxed

Computed properties:
- total magnetization (μB per cell) = 0.00
- energy of formation (eV per atom) = 0.1287
- total energy (eV/atom) = -1.094

a = 4.290 Å, b = 8.183 Å, c = 8.183 Å
α = 86.06°, β = 74.80°, γ = 74.80°
Atoms (fractional coordinates):
K1 0.567 0.186 0.680
K2 0.433 0.814 0.320
K3 0.753 0.680 0.814
K4 0.247 0.320 0.186
Zn1 0.000 0.000 0.000


Record 10
Compound: YCd5
Source: Alexandria via LeMat-Bulk
Functional: GGA-PBEsol
Structure: relaxed

Computed properties:
- total magnetization (μB per cell) = 0.00
- energy of formation (eV per atom) = -0.2342
- total energy (eV/atom) = -2.369

a = 4.808 Å, b = 4.929 Å, c = 6.431 Å
α = 95.92°, β = 90.00°, γ = 119.19°
Atoms (fractional coordinates):
Cd1 0.643 0.286 0.751
Cd2 0.314 0.628 0.748
Cd3 0.000 0.000 0.500
Cd4 0.686 0.372 0.252
Cd5 0.357 0.714 0.249
Y1 0.000 0.000 0.000


Record 11
Compound: MnTcAu
Source: Alexandria via LeMat-Bulk
Functional: GGA-PBEsol
Structure: relaxed

Computed properties:
- total magnetization (μB per cell) = 1.26
- energy of formation (eV per atom) = 0.2605
- total energy (eV/atom) = -8.057

a = 2.802 Å, b = 3.559 Å, c = 4.833 Å
α = 111.60°, β = 106.85°, γ = 90.00°
Atoms (fractional coordinates):
Mn1 0.683 0.683 0.365
Au1 0.002 0.002 0.005
Tc1 0.315 0.315 0.630


Record 12
Compound: SbSO2F5
Source: Alexandria via LeMat-Bulk
Functional: GGA-PBEsol
Structure: relaxed

Computed properties:
- total magnetization (μB per cell) = 0.00
- formation energy without anion corrections (meV/atom) = -1864
- total energy (eV/atom) = -5.095

a = 5.767 Å, b = 10.047 Å, c = 10.453 Å
α = 90.00°, β = 90.00°, γ = 99.46°
Atoms (fractional coordinates):
F1 0.348 0.401 0.387
F2 0.052 0.792 0.915
F3 0.948 0.208 0.085
F4 0.552 0.292 0.585
F5 0.076 0.162 0.349
F6 0.229 0.443 0.048
F7 0.431 0.216 0.086
F8 0.424 0.338 0.849
F9 0.069 0.284 0.586
F10 0.771 0.557 0.952
F11 0.652 0.599 0.613
F12 0.931 0.716 0.414
F13 0.569 0.784 0.914
F14 0.924 0.838 0.651
F15 0.448 0.708 0.415
F16 0.152 0.099 0.887
F17 0.729 0.943 0.452
F18 0.848 0.901 0.113
F19 0.271 0.057 0.548
F20 0.576 0.662 0.151
S1 0.584 0.064 0.263
S2 0.916 0.436 0.763
S3 0.416 0.936 0.737
S4 0.084 0.564 0.237
O1 0.380 0.964 0.246
O2 0.441 0.823 0.647
O3 0.620 0.036 0.754
O4 0.880 0.464 0.254
O5 0.059 0.677 0.147
O6 0.941 0.323 0.853
O7 0.559 0.177 0.353
O8 0.120 0.536 0.746
Sb1 0.702 0.767 0.526
Sb2 0.798 0.733 0.026
Sb3 0.298 0.233 0.474
Sb4 0.202 0.267 0.974